Below is a geometry-optimized CdAgAs2 structure, with properties calculated at the PBE level.

Unit cell a=3.710 b=3.710 c=6.203 alpha=90.00 beta=90.00 gamma=90.00
Atoms (fractional coordinates):
As 0.000 0.000 0.067
As 0.500 0.500 0.173
Ag 0.500 0.500 0.729
Cd 0.000 0.000 0.531

Calculated values
SG: No. 99
Total moment in μB/cell: 0.0
ΔE_f in eV per atom: 0.18
Raw total energy in eV/atom: -3.087
Density in g cm⁻³: 7.20

***

Below is a geometry-optimized HoThRu structure, with properties calculated at the PBE level.

Unit cell a=4.098 b=6.000 c=8.337 alpha=56.15 beta=75.83 gamma=90.02
Atoms (fractional coordinates):
Ho 0.091 0.382 0.820
Ho 0.909 0.618 0.180
Th 0.654 0.994 0.692
Th 0.346 0.006 0.308
Ru 0.733 0.658 0.533
Ru 0.267 0.342 0.467

Calculated values
Energy above the lowest structure with this stoichiometry in meV/atom: 0
SG: No. 2
Total moment in μB/cell: 0.0
ΔE_f in eV per atom: -0.34
Raw total energy in eV/atom: -7.432
Density in g cm⁻³: 10.17

***

Below is a geometry-optimized Sm3AlPt8 structure, with properties calculated at the PBE level.

Unit cell a=5.468 b=5.468 c=9.435 alpha=73.16 beta=73.16 gamma=60.00
Atoms (fractional coordinates):
Sm 0.621 0.621 0.136
Sm 0.011 0.011 0.966
Sm 0.491 0.491 0.528
Al 0.149 0.149 0.554
Pt 0.561 0.057 0.822
Pt 0.059 0.563 0.319
Pt 0.561 0.561 0.822
Pt 0.059 0.059 0.319
Pt 0.809 0.809 0.574
Pt 0.310 0.310 0.070
Pt 0.057 0.561 0.822
Pt 0.563 0.059 0.319

Calculated values
SG: No. 160
Total moment in μB/cell: 0.0
ΔE_f in eV per atom: -0.96
Raw total energy in eV/atom: -6.483
Density in g cm⁻³: 14.71

***

Below is a geometry-optimized PmPu3N structure, with properties calculated at the PBE level.

Unit cell a=4.907 b=4.907 c=4.907 alpha=90.00 beta=90.00 gamma=90.00
Atoms (fractional coordinates):
N 0.000 0.000 0.000
Pm 0.500 0.500 0.500
Pu 0.000 0.500 0.000
Pu 0.000 0.000 0.500
Pu 0.500 0.000 0.000

Calculated values
SG: No. 221
Total moment in μB/cell: 16.6
Raw total energy in eV/atom: -11.483
Density in g cm⁻³: 12.52

***

Below is a geometry-optimized MnRuSN2 structure, with properties calculated at the PBE level.

Unit cell a=3.763 b=3.763 c=5.193 alpha=90.00 beta=90.00 gamma=90.00
Atoms (fractional coordinates):
Ru 0.000 0.000 0.000
S 0.000 0.000 0.500
Mn 0.500 0.500 0.500
N 0.000 0.500 0.000
N 0.500 0.000 0.000

Calculated values
Energy above the lowest structure with this stoichiometry in meV/atom: 0
SG: No. 123
Total moment in μB/cell: 5.2
Raw total energy in eV/atom: -7.186
Density in g cm⁻³: 4.88

***

Below is a geometry-optimized Pr4CoAgI2 structure, with properties calculated at the PBE level.

Unit cell a=4.218 b=7.552 c=8.482 alpha=106.43 beta=90.00 gamma=90.00
Atoms (fractional coordinates):
Pr 0.500 0.272 0.192
Pr 0.500 0.728 0.808
Pr 0.000 0.289 0.814
Pr 0.000 0.711 0.186
Co 0.500 0.500 0.000
Ag 0.000 0.000 0.000
I 0.500 0.000 0.500
I 0.000 0.500 0.500

Calculated values
SG: No. 10
Total moment in μB/cell: 0.0
Raw total energy in eV/atom: -4.571
Density in g cm⁻³: 6.31

***

Below is a geometry-optimized NiMoAsPb2 structure, with properties calculated at the PBE level.

Unit cell a=4.984 b=4.901 c=4.984 alpha=90.00 beta=90.00 gamma=90.00
Atoms (fractional coordinates):
Pb 0.000 0.000 0.500
Pb 0.500 0.000 0.000
Ni 0.000 0.000 0.000
Mo 0.000 0.500 0.000
As 0.500 0.500 0.500

Calculated values
SG: No. 123
Total moment in μB/cell: 3.5
ΔE_f in eV per atom: 0.82
Raw total energy in eV/atom: -4.912
Density in g cm⁻³: 8.78

***

Below is a geometry-optimized SiHgOs2 structure, with properties calculated at the PBE level.

Unit cell a=2.770 b=2.770 c=10.562 alpha=90.00 beta=90.00 gamma=119.43
Atoms (fractional coordinates):
Hg 0.500 0.500 0.774
Os 0.000 0.000 0.035
Os 0.500 0.500 0.246
Si 0.000 0.000 0.445

Calculated values
Energy above the lowest structure with this stoichiometry in meV/atom: 411
SG: No. 35
Total moment in μB/cell: 0.3
Raw total energy in eV/atom: -6.376
Density in g cm⁻³: 14.33

***

Below is a geometry-optimized LiZrGaI structure, with properties calculated at the PBE level.

Unit cell a=3.523 b=3.523 c=6.987 alpha=90.00 beta=90.00 gamma=90.00
Atoms (fractional coordinates):
Li 0.500 0.500 0.574
Zr 0.500 0.500 0.122
Ga 0.000 0.000 0.332
I 0.000 0.000 0.848

Calculated values
Energy above the lowest structure with this stoichiometry in meV/atom: 63
SG: No. 99
Total moment in μB/cell: 0.0
Raw total energy in eV/atom: -4.051
Density in g cm⁻³: 5.65

***

Below is a geometry-optimized LiRuI2N structure, with properties calculated at the PBE level.

Unit cell a=5.134 b=5.134 c=3.486 alpha=90.00 beta=90.00 gamma=90.00
Atoms (fractional coordinates):
I 0.000 0.500 0.000
I 0.500 0.000 0.000
Ru 0.500 0.500 0.500
Li 0.000 0.000 0.000
N 0.000 0.000 0.500

Calculated values
Energy above the lowest structure with this stoichiometry in meV/atom: 1341
SG: No. 123
Total moment in μB/cell: 0.0
Raw total energy in eV/atom: -3.209
Density in g cm⁻³: 6.79

***

Below is a geometry-optimized RbZn3S structure, with properties calculated at the PBE level.

Unit cell a=6.623 b=6.623 c=6.623 alpha=90.00 beta=90.00 gamma=90.00
Atoms (fractional coordinates):
Zn 0.000 0.500 0.000
Zn 0.000 0.000 0.500
Zn 0.500 0.000 0.000
S 0.500 0.500 0.500
Rb 0.000 0.000 0.000

Calculated values
Energy above the lowest structure with this stoichiometry in meV/atom: 649
SG: No. 221
Total moment in μB/cell: 1.0
Raw total energy in eV/atom: -0.831
Density in g cm⁻³: 1.79

***

Below is a geometry-optimized BaSr2TaN4 structure, with properties calculated at the PBE level.

Unit cell a=7.378 b=7.378 c=7.185 alpha=119.13 beta=119.13 gamma=94.30
Atoms (fractional coordinates):
Ba 0.000 0.500 0.000
Ba 0.000 0.500 0.500
Sr 0.500 0.000 0.000
Sr 0.500 0.000 0.500
Sr 0.000 0.000 0.500
Sr 0.500 0.500 0.000
Ta 0.500 0.500 0.500
Ta 0.000 0.000 0.000
N 0.200 0.820 0.010
N 0.680 0.300 0.490
N 0.320 0.700 0.510
N 0.800 0.180 0.990
N 0.748 0.753 0.960
N 0.747 0.752 0.540
N 0.253 0.248 0.460
N 0.252 0.247 0.040

Calculated values
SG: No. 74
Total moment in μB/cell: 1.7
Raw total energy in eV/atom: -6.847
Density in g cm⁻³: 6.70